Entry 1:
A geometry-optimized Rb3Li2ErI8 structure, computed with PBE.

Geometry as POSCAR:
```
Rb3Li2ErI8
1.0
8.4312 0.0000 0.0000
-4.2156 7.3017 0.0000
0.0000 0.0000 10.5121
Rb I Li Er
3 8 2 1
direct
0.6667 0.3333 0.3804
0.3333 0.6667 0.6196
0.0000 0.0000 0.0000
0.8356 0.1644 0.6711
0.1644 0.3287 0.3289
0.3333 0.6667 0.9493
0.6713 0.8356 0.3289
0.3287 0.1644 0.6711
0.1644 0.8356 0.3289
0.6667 0.3333 0.0507
0.8356 0.6713 0.6711
0.6667 0.3333 0.8054
0.3333 0.6667 0.1946
0.0000 0.0000 0.5000
```

## Properties
Calculated volume: 647.1 Å³/cell
E_tot: -42.2 eV per cell
Fermi-level density of states: 0.000 states/eV per atom

Entry 2:
A geometry-optimized TaSiSb2 structure, computed with PBE.

Geometry as POSCAR:
```
TaSiSb2
1.0
-2.1405 -2.5526 -0.1570
1.9783 -1.5230 -2.2111
4.0404 -3.7702 6.2119
Ta Sb Si
1 2 1
direct
0.5000 0.5000 0.6879
0.5000 0.5000 0.3297
0.0000 0.0000 0.9255
0.0000 0.0000 0.5570
```

## Properties
Calculated volume: 92.5 Å³/cell
E_tot: -25.4 eV per cell
Fermi-level density of states: 0.537 states/eV per atom

Entry 3:
A geometry-optimized HPd2I2 structure, computed with PBE.

Geometry as POSCAR:
```
HPd2I2
1.0
-2.1948 4.9388 1.2281
-1.6393 0.5800 -5.2624
-5.5498 0.9142 -1.0889
I Pd H
2 2 1
direct
0.7500 0.2500 0.5000
0.2500 0.7500 0.5000
0.2010 0.2010 0.5979
0.7990 0.7990 0.4021
0.0000 0.0000 0.0000
```

## Properties
Calculated volume: 128.4 Å³/cell
E_tot: -16.7 eV per cell
Fermi-level density of states: 0.338 states/eV per atom

Entry 4:
A geometry-optimized TbEr3Tl2 structure, computed with PBE.

Geometry as POSCAR:
```
TbEr3Tl2
1.0
5.0586 0.0000 0.0000
0.0000 6.8088 0.0000
0.0000 0.0000 9.9004
Tl Er Tb
4 6 2
direct
0.5000 0.7088 0.8675
0.0000 0.7904 0.3667
0.5000 0.2088 0.1325
0.0000 0.2904 0.6333
0.0000 0.4537 0.9563
0.5000 0.6692 0.1861
0.0000 0.3304 0.3098
0.5000 0.1692 0.8139
0.0000 0.9537 0.0437
0.0000 0.8304 0.6902
0.5000 0.0474 0.4570
0.5000 0.5474 0.5430
```

## Properties
Calculated volume: 341.0 Å³/cell
E_tot: -49.3 eV per cell
Formation energy from the elements: -264 meV/atom
Polymorph energy (0 for the lowest one): 0.000 eV/atom
Fermi-level density of states: 0.993 states/eV per atom